No. 1
Cd2AgPdO4 | PBE | relaxed

Cell lengths 5.859, 5.859, 6.741 Å; angles 90.00, 90.00, 90.00 degrees
Fractional positions:
Cd1 0.000 0.000 0.000
Cd2 0.000 0.500 0.250
Cd3 0.500 0.000 0.750
Cd4 0.500 0.500 0.500
Ag1 0.000 0.500 0.750
Ag2 0.500 0.000 0.250
Pd1 0.000 0.000 0.500
Pd2 0.500 0.500 0.000
O1 0.171 0.300 0.492
O2 0.200 0.671 0.008
O3 0.300 0.829 0.508
O4 0.329 0.200 0.992
O5 0.671 0.800 0.992
O6 0.700 0.171 0.508
O7 0.800 0.329 0.008
O8 0.829 0.700 0.492

Properties
Space-group type: I-4, No. 82
VASP energy in eV/cell: -67.14
V in Å³/atom: 14.46

=====

No. 2
CdAg3Pd3O8 | PBE | relaxed

Cell lengths 6.465, 6.465, 7.182 Å; angles 115.25, 115.25, 60.13 degrees
Fractional positions:
Cd1 0.000 0.000 0.000
Ag1 0.000 0.500 0.500
Ag2 0.500 0.000 0.500
Ag3 0.500 0.500 0.500
Pd1 0.000 0.500 0.000
Pd2 0.500 0.000 0.000
Pd3 0.500 0.500 0.000
O1 0.132 0.132 0.843
O2 0.132 0.580 0.834
O3 0.385 0.385 0.164
O4 0.420 0.868 0.166
O5 0.580 0.132 0.834
O6 0.615 0.615 0.836
O7 0.868 0.420 0.166
O8 0.868 0.868 0.157

Properties
Space-group type: C2/m, No. 12
VASP energy in eV/cell: -69.93
V in Å³/atom: 15.10